DFT (PBE) results for crystalline CuC at its relaxed geometry.

Calculated values
Total energy: -6.40 eV/atom
Calculated volume: 13.36 Å³ per atom
Excess energy over the best structure of this formula in the dataset: 35 meV/atom

a b c (Å): 10.3118 10.3118 10.3118
angles (deg): 13.69 13.69 13.69
Closest atoms and distances in Å follow each position.
Positions (direct):
1 Cu 0.8721 0.8721 0.8721  6 Cu 2.46
2 C 0.3333 0.3333 0.3333  3 C 1.42
3 C 0.6667 0.6667 0.6667  3 C 1.42
4 Cu 0.1279 0.1279 0.1279  6 Cu 2.46